First-principles (PBE-GGA) data for Ir2Pb2F after structural relaxation, as listed in the Alexandria database.

E above lowest polymorph = 0.3116 eV/atom
V = 19.5 A^3/atom
ΔE_f (raw) = 0.0415 eV per atom

Cell lengths 7.803, 7.803, 3.205 Å; angles 90.00, 90.00, 90.00 degrees
Element x y z (fractional)
Pb (0.178, 0.322, 0.000)
Pb (0.322, 0.822, 0.000)
Pb (0.822, 0.678, 0.000)
Pb (0.678, 0.178, 0.000)
Ir (0.377, 0.123, 0.500)
Ir (0.623, 0.877, 0.500)
Ir (0.877, 0.377, 0.500)
Ir (0.123, 0.623, 0.500)
F (0.000, 0.000, 0.000)
F (0.500, 0.500, 0.000)